The following is a PBE calculation of an optimized crystal structure of NaTl4In7, from Alexandria.

Cell lengths 6.272, 6.272, 13.445 Å; angles 109.92, 70.09, 136.87 degrees
Atoms (fractional coordinates):
Tl1 0.340 0.660 0.914
Tl2 0.342 0.658 0.662
Tl3 0.658 0.342 0.338
Tl4 0.660 0.340 0.086
In1 0.000 0.000 0.000
In2 0.985 0.015 0.252
In3 0.015 0.985 0.748
In4 0.328 0.672 0.170
In5 0.668 0.332 0.584
In6 0.332 0.668 0.416
In7 0.672 0.328 0.830
Na1 0.000 0.000 0.500

Properties
Its total energy is -2.51 eV per atom. For the energy above the lowest structure with this stoichiometry, the calculation gives 0.000 eV/atom. Its formation energy is -0.012 eV/atom.



The following is a PBE calculation of an optimized crystal structure of Na6Tl2In3, from Alexandria.

Cell lengths 3.489, 10.023, 10.023 Å; angles 80.52, 90.00, 90.00 degrees
Atoms (fractional coordinates):
Na1 0.500 0.656 0.656
Na2 0.500 0.347 0.908
Na3 0.500 0.344 0.344
Na4 0.500 0.908 0.347
Na5 0.500 0.653 0.092
Na6 0.500 0.092 0.653
In1 0.000 0.835 0.835
In2 0.500 0.000 0.000
In3 0.000 0.165 0.165
Tl1 0.000 0.378 0.622
Tl2 0.000 0.622 0.378

Properties
Its total energy is -1.93 eV per atom. Its formation energy is -0.038 eV/atom.



The following is a PBE calculation of an optimized crystal structure of Na2Tl12In5, from Alexandria.

Cell lengths 6.804, 9.527, 10.571 Å; angles 102.21, 90.00, 110.92 degrees
Atoms (fractional coordinates):
In1 0.680 0.360 0.350
In2 0.359 0.717 0.138
In3 0.320 0.640 0.650
In4 0.641 0.283 0.862
In5 0.000 0.000 0.500
Tl1 0.956 0.390 0.111
Tl2 0.087 0.174 0.280
Tl3 0.434 0.390 0.111
Tl4 0.492 0.985 0.650
Tl5 0.087 0.678 0.400
Tl6 0.566 0.610 0.889
Tl7 0.591 0.678 0.400
Tl8 0.409 0.322 0.600
Tl9 0.508 0.015 0.350
Tl10 0.913 0.322 0.600
Tl11 0.913 0.826 0.720
Tl12 0.044 0.610 0.889
Na1 0.260 0.000 0.000
Na2 0.740 0.000 0.000

Properties
Its total energy is -2.28 eV per atom. For the energy above the lowest structure with this stoichiometry, the calculation gives 0.072 eV/atom. Its formation energy is 0.072 eV/atom.



The following is a PBE calculation of an optimized crystal structure of Na2TlIn6, from Alexandria.

Cell lengths 3.359, 9.221, 9.221 Å; angles 59.98, 89.97, 89.97 degrees
Atoms (fractional coordinates):
In1 0.500 0.335 0.665
In2 0.498 0.335 0.000
In3 0.500 0.665 0.335
In4 0.502 0.665 0.000
In5 0.498 0.000 0.335
In6 0.502 0.000 0.665
Tl1 0.000 0.000 0.000
Na1 0.001 0.667 0.667
Na2 0.999 0.333 0.333

Properties
Its total energy is -2.45 eV per atom. For the energy above the lowest structure with this stoichiometry, the calculation gives 0.002 eV/atom. Its formation energy is -0.064 eV/atom.



The following is a PBE calculation of an optimized crystal structure of NaTl6In5, from Alexandria.

Cell lengths 4.747, 9.398, 8.033 Å; angles 90.00, 73.56, 90.00 degrees
Atoms (fractional coordinates):
Na1 0.000 0.000 0.000
Tl1 0.164 0.753 0.668
Tl2 0.836 0.247 0.332
Tl3 0.836 0.753 0.332
Tl4 0.500 0.746 0.000
Tl5 0.164 0.247 0.668
Tl6 0.500 0.254 0.000
In1 0.331 0.500 0.340
In2 0.666 0.000 0.662
In3 0.669 0.500 0.660
In4 0.334 0.000 0.338
In5 0.000 0.500 0.000

Properties
Its total energy is -2.44 eV per atom. Its formation energy is -0.005 eV/atom.



The following is a PBE calculation of an optimized crystal structure of Na3Tl3In, from Alexandria.

Cell lengths 7.372, 7.372, 8.516 Å; angles 93.16, 93.16, 110.77 degrees
Atoms (fractional coordinates):
Tl1 0.506 0.994 0.721
Tl2 0.130 0.130 0.870
Tl3 0.870 0.870 0.130
Tl4 0.494 0.006 0.279
Tl5 0.994 0.506 0.721
Tl6 0.006 0.494 0.279
Na1 0.619 0.619 0.376
Na2 0.128 0.872 0.500
Na3 0.872 0.128 0.500
Na4 0.381 0.381 0.624
Na5 0.657 0.343 0.000
Na6 0.343 0.657 0.000
In1 0.240 0.240 0.235
In2 0.760 0.760 0.765

Properties
Its total energy is -1.99 eV per atom. For the energy above the lowest structure with this stoichiometry, the calculation gives 0.052 eV/atom. Its formation energy is -0.021 eV/atom.



The following is a PBE calculation of an optimized crystal structure of Na4Tl2In5, from Alexandria.

Cell lengths 3.391, 8.169, 10.981 Å; angles 93.91, 90.00, 90.00 degrees
Atoms (fractional coordinates):
Na1 0.500 0.839 0.101
Na2 0.500 0.705 0.553
Na3 0.500 0.161 0.899
Na4 0.500 0.295 0.447
In1 0.000 0.435 0.717
In2 0.000 0.500 0.000
In3 0.000 0.205 0.167
In4 0.000 0.795 0.833
In5 0.000 0.565 0.283
Tl1 0.000 0.940 0.359
Tl2 0.000 0.060 0.641

Properties
Its total energy is -2.24 eV per atom. For the energy above the lowest structure with this stoichiometry, the calculation gives 0.012 eV/atom. Its formation energy is -0.082 eV/atom.



The following is a PBE calculation of an optimized crystal structure of Na2Tl6In, from Alexandria.

Cell lengths 3.419, 9.486, 9.486 Å; angles 120.00, 90.00, 90.00 degrees
Atoms (fractional coordinates):
Tl1 0.779 0.669 0.000
Tl2 0.221 0.331 0.000
Tl3 0.779 0.331 0.331
Tl4 0.221 0.000 0.331
Tl5 0.779 0.000 0.669
Tl6 0.221 0.669 0.669
Na1 0.500 0.667 0.333
Na2 0.500 0.333 0.667
In1 0.000 0.000 0.000

Properties
Its total energy is -2.21 eV per atom. For the energy above the lowest structure with this stoichiometry, the calculation gives 0.022 eV/atom. Its formation energy is -0.038 eV/atom.



The following is a PBE calculation of an optimized crystal structure of Na3Tl7In, from Alexandria.

Cell lengths 6.386, 6.386, 8.887 Å; angles 89.06, 89.06, 114.24 degrees
Atoms (fractional coordinates):
Tl1 0.590 0.049 0.174
Tl2 0.859 0.859 0.644
Tl3 0.154 0.154 0.343
Tl4 0.398 0.861 0.837
Tl5 0.049 0.590 0.174
Tl6 0.338 0.338 0.708
Tl7 0.861 0.398 0.837
Na1 0.740 0.338 0.480
Na2 0.523 0.523 0.079
Na3 0.338 0.740 0.480
In1 0.026 0.026 0.995

Properties
Its total energy is -2.16 eV per atom. For the energy above the lowest structure with this stoichiometry, the calculation gives 0.000 eV/atom. Its formation energy is -0.048 eV/atom.



The following is a PBE calculation of an optimized crystal structure of Na2Tl6In5, from Alexandria.

Cell lengths 3.375, 11.207, 20.228 Å; angles 90.00, 90.00, 90.00 degrees
Atoms (fractional coordinates):
Tl1 0.000 0.584 0.134
Tl2 0.000 0.534 0.418
Tl3 0.000 0.034 0.082
Tl4 0.500 0.813 0.374
Tl5 0.500 0.187 0.626
Tl6 0.000 0.966 0.918
Tl7 0.000 0.084 0.366
Tl8 0.000 0.466 0.582
Tl9 0.000 0.416 0.866
Tl10 0.000 0.916 0.634
Tl11 0.500 0.313 0.126
Tl12 0.500 0.687 0.874
In1 0.500 0.594 0.276
In2 0.500 0.406 0.724
In3 0.500 0.000 0.500
In4 0.500 0.500 0.000
In5 0.500 0.717 0.532
In6 0.500 0.217 0.968
In7 0.500 0.783 0.032
In8 0.500 0.283 0.468
In9 0.500 0.094 0.224
In10 0.500 0.906 0.776
Na1 0.000 0.162 0.784
Na2 0.000 0.838 0.216
Na3 0.000 0.662 0.716
Na4 0.000 0.338 0.284

Properties
Its total energy is -2.35 eV per atom. Its formation energy is -0.004 eV/atom.



The following is a PBE calculation of an optimized crystal structure of NaTlIn14, from Alexandria.

Cell lengths 7.171, 7.171, 8.487 Å; angles 90.00, 90.00, 89.91 degrees
Atoms (fractional coordinates):
In1 0.875 0.375 0.000
In2 0.875 0.875 0.000
In3 0.126 0.126 0.754
In4 0.624 0.126 0.246
In5 0.126 0.126 0.246
In6 0.624 0.624 0.754
In7 0.375 0.375 0.000
In8 0.126 0.624 0.754
In9 0.624 0.126 0.754
In10 0.375 0.875 0.000
In11 0.875 0.375 0.500
In12 0.624 0.624 0.246
In13 0.126 0.624 0.246
In14 0.375 0.875 0.500
Tl1 0.875 0.875 0.500
Na1 0.375 0.375 0.500

Properties
Its total energy is -2.63 eV per atom. Its formation energy is 0.001 eV/atom.



The following is a PBE calculation of an optimized crystal structure of Na7TlIn2, from Alexandria.

Cell lengths 5.622, 9.051, 9.051 Å; angles 119.79, 90.00, 90.00 degrees
Atoms (fractional coordinates):
In1 0.500 0.702 0.298
In2 0.500 0.298 0.702
Na1 0.500 0.065 0.297
Na2 0.500 0.500 0.500
Na3 0.000 0.220 0.780
Na4 0.500 0.703 0.935
Na5 0.500 0.297 0.065
Na6 0.000 0.780 0.220
Na7 0.500 0.935 0.703
Tl1 0.000 0.000 0.000

Properties
Its total energy is -1.57 eV per atom. Its formation energy is 0.139 eV/atom.



> Number 2 is which compound?

Na6Tl2In3



Copy entry 6 word for word.
The following is a PBE calculation of an optimized crystal structure of Na3Tl3In, from Alexandria.

Cell lengths 7.372, 7.372, 8.516 Å; angles 93.16, 93.16, 110.77 degrees
Atoms (fractional coordinates):
Tl1 0.506 0.994 0.721
Tl2 0.130 0.130 0.870
Tl3 0.870 0.870 0.130
Tl4 0.494 0.006 0.279
Tl5 0.994 0.506 0.721
Tl6 0.006 0.494 0.279
Na1 0.619 0.619 0.376
Na2 0.128 0.872 0.500
Na3 0.872 0.128 0.500
Na4 0.381 0.381 0.624
Na5 0.657 0.343 0.000
Na6 0.343 0.657 0.000
In1 0.240 0.240 0.235
In2 0.760 0.760 0.765

Properties
Its total energy is -1.99 eV per atom. For the energy above the lowest structure with this stoichiometry, the calculation gives 0.052 eV/atom. Its formation energy is -0.021 eV/atom.